Entry 1:
Here is a relaxed MoIr2Rh crystal from the Alexandria database. Energies are from PBE-GGA.

Cell and atoms, written as extended XYZ:
```
4
Lattice="4.759 0.004 0.001 1.583 4.488 -0.002 -3.172 -2.245 2.749" Properties=species:S:1:pos:R:3 pbc="T T T"
Mo 3.171 2.246 -0.001
Ir 1.587 -2.241 2.750
Ir 2.380 0.001 1.375
Rh 0.790 2.245 1.373
```

Values from the calculation:
E above lowest polymorph in eV/f.u.: 0.16



Entry 2:
Here is a relaxed TbMg2Sn2 crystal from the Alexandria database. Energies are from PBE-GGA.

Cell and atoms, written as extended XYZ:
```
10
Lattice="-1.836 2.394 3.237 0.032 -3.579 2.665 12.270 1.960 2.486" Properties=species:S:1:pos:R:3 pbc="T T T"
Tb 7.915 1.304 3.525
Tb 2.551 -0.529 4.863
Mg 1.069 -2.394 2.377
Mg 10.352 0.188 5.734
Mg 9.397 3.168 6.012
Mg 0.114 0.587 2.655
Sn 4.751 1.877 4.332
Sn 5.714 -1.102 4.057
Sn 7.567 0.866 6.677
Sn 2.898 -0.091 1.711
```

Values from the calculation:
E above lowest polymorph in eV/f.u.: 0.00



Entry 3:
Here is a relaxed AcCdAg crystal from the Alexandria database. Energies are from PBE-GGA.

Cell and atoms, written as extended XYZ:
```
3
Lattice="-1.546 -2.767 2.297 3.477 -0.509 1.726 -2.262 5.467 1.729" Properties=species:S:1:pos:R:3 pbc="T T T"
Ac -0.731 2.159 2.109
Ag 0.721 -0.917 2.716
Cd -0.263 1.991 5.557
```

Values from the calculation:
E above lowest polymorph in eV/f.u.: 0.37



Entry 4:
Here is a relaxed Ce2TmSn2 crystal from the Alexandria database. Energies are from PBE-GGA.

Cell and atoms, written as extended XYZ:
```
5
Lattice="5.483 0.000 -1.508 0.000 3.469 0.000 -0.645 0.000 8.380" Properties=species:S:1:pos:R:3 pbc="T T T"
Ce 1.421 0.000 5.167
Ce 3.418 0.000 1.705
Tm 0.000 0.000 0.000
Sn 0.675 1.735 2.457
Sn 4.163 1.735 4.416
```

Values from the calculation:
E above lowest polymorph in eV/f.u.: 0.00